# 1
## LiLaIrS2 (PBE)

Data for crystalline LiLaIrS2 at its relaxed geometry.

Geometry as POSCAR:
```
LiLaIrS2
1.0
4.609 0.000 0.000
0.000 4.609 0.000
0.000 0.000 4.266
S Ir La Li
2 1 1 1
Direct
0.500 0.000 0.000
0.000 0.500 0.000
0.000 0.000 0.500
0.500 0.500 0.500
0.000 0.000 0.000
```

SG   No. 123
E   -5.2447 eV per atom
Calculated volume   18.12 Å³ per atom

---

# 2
## CrAuSe (PBE)

Data for crystalline CrAuSe at its relaxed geometry.

Geometry as POSCAR:
```
CrAuSe
1.0
6.256 0.008 0.000
4.708 4.120 0.000
-5.482 -2.064 2.197
Au Cr Se
1 1 1
Direct
0.976 0.976 0.000
0.318 0.318 0.000
0.706 0.706 0.000
```

SG   No. 107
E   -5.4419 eV per atom
Calculated volume   18.85 Å³ per atom